First-principles (PBE) data for crystalline CoSbCl2 at its relaxed geometry, as listed in Alexandria via LeMat-Bulk.

Cell lengths 3.1737, 4.5595, 5.6938 Å; angles 90.00, 90.00, 90.00 degrees
With the nearest neighbours (Å) after each atom.
Space group Pmmm (No. 47)
One atom of each set of equivalent atoms:
Co1 0.0000 0.0000 0.0000 x1  4 Cl 2.78
Sb1 0.5000 0.0000 0.5000 x1  4 Cl 2.78
Cl1 0.0000 0.5000 0.5000 x1  4 Sb 2.78
Cl2 0.5000 0.5000 0.0000 x1  4 Co 2.78

The energy comes out at -3.463 eV per atom. Its energy above the most stable polymorph in this dataset is 0.5236 eV/atom. Its uncorrected formation energy is 1.07 eV per formula unit. The size of the total moment is 2.3 μB/f.u.

First-principles (PBE) data for crystalline Ba12Tl3N5 at its relaxed geometry, as listed in Alexandria via LeMat-Bulk.

Cell lengths 18.2533, 18.2533, 18.2533 Å; angles 90.00, 90.00, 90.00 degrees
With the nearest neighbours (Å) after each atom.
Space group Ia-3d (No. 230)
One atom of each set of equivalent atoms:
Ba1 0.0360 0.0470 0.6483 x96  2 N 2.61-2.91
Tl1 0.0000 0.2500 0.1250 x24  8 Ba 3.58-3.79
N1 0.0000 0.0000 0.0000 x16  6 Ba 2.91
N2 0.0000 0.2500 0.3750 x24  4 Ba 2.61

The energy comes out at -3.837 eV per atom. Its uncorrected formation energy is -4.94 eV per formula unit. The size of the total moment is 3.8 μB/f.u.

First-principles (PBE) data for crystalline HfGaAg at its relaxed geometry, as listed in Alexandria via LeMat-Bulk.

Cell lengths 3.8643, 3.8643, 7.6452 Å; angles 90.00, 90.00, 90.00 degrees
With the nearest neighbours (Å) after each atom.
Space group P4/nmm (No. 129, origin choice 2)
One atom of each set of equivalent atoms:
Hf1 0.2500 0.2500 0.1206 x2  5 Ag 2.88-2.92
Ga1 0.2500 0.7500 0.5000 x2  4 Ag 2.69, 4 Ga 2.73
Ag1 0.2500 0.2500 0.7441 x2  4 Ga 2.69, 5 Hf 2.88-2.92

For the formation energy, the calculation gives 3 meV/atom. The energy comes out at -5.274 eV per atom. The size of the total moment is 0.0 μB/f.u.

First-principles (PBE) data for crystalline ScSnPO2 at its relaxed geometry, as listed in Alexandria via LeMat-Bulk.

Cell lengths 3.9732, 3.9732, 5.2720 Å; angles 90.00, 90.00, 90.00 degrees
With the nearest neighbours (Å) after each atom.
Space group P4/mmm (No. 123)
One atom of each set of equivalent atoms:
Sc1 0.0000 0.0000 0.0000 x1  4 P 2.81
Sn1 0.5000 0.5000 0.5000 x1  4 O 1.99
P1 0.5000 0.5000 0.0000 x1  2 Sn 2.64, 4 Sc 2.81
O1 0.0000 0.5000 0.5000 x2  2 Sn 1.99

The energy comes out at -6.119 eV per atom. Its energy above the most stable polymorph in this dataset is 0.2067 eV/atom. Its uncorrected formation energy is -4.93 eV per formula unit. The size of the total moment is 0.0 μB/f.u.

First-principles (PBE) data for crystalline BaAlTlAu2 at its relaxed geometry, as listed in Alexandria via LeMat-Bulk.

Cell lengths 5.1556, 5.1556, 5.2777 Å; angles 90.00, 90.00, 90.00 degrees
With the nearest neighbours (Å) after each atom.
Space group P4/mmm (No. 123)
One atom of each set of equivalent atoms:
Ba1 0.0000 0.0000 0.0000 x1  4 Tl 3.65, 8 Au 3.69
Al1 0.5000 0.5000 0.5000 x1  4 Au 2.58, 2 Tl 2.64
Tl1 0.5000 0.5000 0.0000 x1  2 Al 2.64
Au1 0.0000 0.5000 0.5000 x2  2 Al 2.58

For the formation energy, the calculation gives -327 meV/atom. The energy comes out at -3.245 eV per atom. The size of the total moment is 0.0 μB/f.u.

First-principles (PBE) data for crystalline TbPa2Mn9 at its relaxed geometry, as listed in Alexandria via LeMat-Bulk.

Cell lengths 8.3906, 8.3906, 5.1280 Å; angles 90.00, 90.00, 90.00 degrees
With the nearest neighbours (Å) after each atom.
Space group P4/mbm (No. 127)
One atom of each set of equivalent atoms:
Tb1 0.0000 0.0000 0.0000 x2  16 Mn 3.15-3.35, 4 Pa 3.30
Pa1 0.1282 0.3718 0.0000 x4  10 Mn 2.64-2.95
Mn1 0.0000 0.5000 0.5000 x2  8 Mn 2.46-2.54
Mn2 0.0712 0.2063 0.5000 x8  8 Mn 2.48-2.64
Mn3 0.1774 0.6774 0.2503 x8  7 Mn 2.46-2.63, 1 Pa 2.64

For the formation energy, the calculation gives 28 meV/atom. The energy comes out at -8.818 eV per atom. The size of the total moment is 3.8 μB/f.u.

First-principles (PBE) data for crystalline Er3Al3In2Co at its relaxed geometry, as listed in Alexandria via LeMat-Bulk.

Cell lengths 7.1173, 7.1173, 4.3354 Å; angles 90.00, 90.00, 120.00 degrees
With the nearest neighbours (Å) after each atom.
Space group P-62m (No. 189)
One atom of each set of equivalent atoms:
Er1 0.0000 0.6135 0.0000 x3  1 Co 2.75
Al1 0.0000 0.2195 0.5000 x3  2 Co 2.67, 2 Al 2.71, 2 In 2.86-2.87
In1 0.3333 0.6667 0.5000 x2  3 Al 2.86-2.87, 6 Er 3.09
Co1 0.0000 0.0000 0.0000 x1  6 Al 2.67, 3 Er 2.75

For the formation energy, the calculation gives -475 meV/atom. The energy comes out at -4.642 eV per atom. The size of the total moment is 0.0 μB/f.u.

First-principles (PBE) data for crystalline KCrHg4 at its relaxed geometry, as listed in Alexandria via LeMat-Bulk.

Cell lengths 8.6458, 8.6458, 8.6458 Å; angles 90.00, 90.00, 90.00 degrees
With the nearest neighbours (Å) after each atom.
Space group F-43m (No. 216)
One atom of each set of equivalent atoms:
K1 0.0000 0.0000 0.0000 x4  12 Hg 3.59, 4 Cr 3.74
Cr1 0.2500 0.2500 0.7500 x4  12 Hg 3.58, 4 K 3.74
Hg1 0.1245 0.1245 0.3755 x16  6 Hg 3.05-3.07

For the formation energy, the calculation gives 247 meV/atom. The energy comes out at -1.741 eV per atom. The size of the total moment is 4.9 μB/f.u.

Q: Which of these has the highest energy?
A: KCrHg4